# 1
Compound: K2HgSb2
Source: the Alexandria database
Functional: PBE-GGA
Structure: relaxed

Geometry as extended XYZ:
```
10
Lattice="10.212 0.000 0.000 0.000 10.212 0.000 0.000 0.000 3.564" Properties=species:S:1:pos:R:3 pbc="T T T"
K 1.997 3.110 0.000
K 3.110 8.216 0.000
K 7.103 1.997 0.000
K 8.216 7.103 0.000
Hg 0.000 0.000 0.000
Hg 5.106 5.106 0.000
Sb 0.987 6.093 1.782
Sb 4.119 0.987 1.782
Sb 6.093 9.225 1.782
Sb 9.225 4.119 1.782
```

**E above lowest polymorph**: 136 meV per atom
**ΔE_f (raw)**: -225.1 meV per atom
**SG**: P4/mbm

---

# 2
Compound: K2Hg5Sb
Source: the Alexandria database
Functional: PBE-GGA
Structure: relaxed

Geometry as extended XYZ:
```
16
Lattice="2.715 -9.305 0.000 2.715 9.305 0.000 0.000 0.000 10.386" Properties=species:S:1:pos:R:3 pbc="T T T"
K 0.000 0.000 0.000
K 0.000 0.000 5.193
K 2.715 5.500 7.789
K 2.715 -5.500 2.596
Hg 2.715 5.725 1.060
Hg 2.715 5.725 4.133
Hg 2.715 2.738 0.097
Hg 2.715 2.738 5.096
Hg 2.715 1.622 7.789
Hg 2.715 -1.622 2.596
Hg 2.715 -2.738 5.290
Hg 2.715 -2.738 10.289
Hg 2.715 -5.725 6.253
Hg 2.715 -5.725 9.326
Sb 2.715 1.270 2.596
Sb 2.715 -1.270 7.789
```

**ΔE_f (raw)**: -225.4 meV per atom
**SG**: Cmcm

---

# 3
Compound: KHgSb2
Source: the Alexandria database
Functional: PBE-GGA
Structure: relaxed

Geometry as extended XYZ:
```
8
Lattice="2.773 -6.257 0.000 2.773 6.257 0.000 0.000 0.000 7.910" Properties=species:S:1:pos:R:3 pbc="T T T"
K 2.773 5.231 5.933
K 2.773 -5.231 1.978
Hg 2.773 3.417 1.978
Hg 2.773 -3.417 5.933
Sb 2.773 1.325 4.465
Sb 2.773 1.325 7.400
Sb 2.773 -1.325 0.510
Sb 2.773 -1.325 3.445
```

**ΔE_f (raw)**: -165.0 meV per atom
**SG**: Cmcm

---

- Number 1 is which compound?
  K2HgSb2

---

- Which formula does entry 1 have?
  K2HgSb2